DFT (GGA-PBEsol) results for an optimized crystal structure of CrSbCI2.

Summary:
Energy relative to the lowest polymorph listed for this composition = 0.0 kJ per mole of atoms
Mass density = 6.448 g/cm³
Final energy = -21.2 eV/f.u.
E_form (uncorrected) = 1.361 eV/atom
Symmetry = P4/mmm, No. 123

a = 4.960 Å, b = 4.778 Å, c = 4.778 Å
α = 90.00°, β = 90.00°, γ = 90.00°
Site moments in Bohr magnetons follow the coordinates.
Fractional positions:
I: 0.000 0.000 0.500  -0.04
I: 0.000 0.500 0.000  -0.04
Sb: 0.500 0.000 0.000  -0.20
C: 0.000 0.000 0.000  -0.04
Cr: 0.500 0.500 0.500  3.96